Run i
Crystalline Dy3GaGe2 at its relaxed geometry, computed with PBE-GGA.

Unit cell a=7.8038 b=7.8038 c=17.4057 alpha=90.00 beta=90.00 gamma=120.00
With the nearest neighbours (Å) after each atom.
Space group R-3c (No. 167, hexagonal axes)
Asymmetric unit:
Dy: 0.0000 0.3276 0.2500 (multiplicity 18)  4 Ge 2.96-2.98, 2 Ga 3.00
Ga: 0.0000 0.0000 0.0000 (multiplicity 6)  2 Ge 2.87, 6 Dy 3.00
Ge: 0.0000 0.0000 0.1647 (multiplicity 12)  1 Ga 2.87, 6 Dy 2.96-2.98, 1 Ge 2.97

As for the density of states at the Fermi level: 30.302 states/eV per cell. The volume comes out at 25.499 Å³/atom. Its mass density is 7.6 g cm⁻³. The total moment is 0.0 μB per cell.

***

Run ii
Crystalline Dy3GaGe2 at its relaxed geometry, computed with PBE-GGA.

Unit cell a=11.6042 b=4.1843 c=11.5477 alpha=90.00 beta=90.00 gamma=90.00
With the nearest neighbours (Å) after each atom.
Space group Pnma (No. 62)
Asymmetric unit:
Dy: 0.0546 0.2500 0.1208 (multiplicity 4)  5 Ge 2.93-3.13, 1 Ga 2.98
Dy: 0.1252 0.7500 0.5615 (multiplicity 4)  5 Ge 3.01-3.14, 3 Ga 3.08-3.13
Dy: 0.2040 0.2500 0.8017 (multiplicity 4)  3 Ge 2.86-3.13, 2 Ga 2.90
Ga: 0.1351 0.2500 0.3662 (multiplicity 4)  3 Ge 2.59-2.61
Ge: 0.0144 0.7500 0.3136 (multiplicity 4)  2 Ga 2.59, 1 Dy 2.86
Ge: 0.1856 0.7500 0.0021 (multiplicity 4)  1 Ga 2.61

As for the density of states at the Fermi level: 12.731 states/eV per cell. The volume comes out at 23.362 Å³/atom. Its mass density is 8.3 g cm⁻³. The total moment is 0.0 μB per cell.

***

run ii (104 meV/atom below the next structure)

***

Run i
Crystalline DyGa2Ge at its relaxed geometry, computed with PBE-GGA.

Unit cell a=4.2039 b=4.2039 c=4.4616 alpha=90.00 beta=90.00 gamma=90.00
With the nearest neighbours (Å) after each atom.
Space group P4/mmm (No. 123)
Asymmetric unit:
Dy: 0.0000 0.0000 0.0000 (multiplicity 1)  4 Ge 2.97, 8 Ga 3.07
Ga: 0.0000 0.5000 0.5000 (multiplicity 2)  4 Ga 2.97, 4 Ge 3.07, 4 Dy 3.07
Ge: 0.5000 0.5000 0.0000 (multiplicity 1)  4 Dy 2.97, 8 Ga 3.07

As for the density of states at the Fermi level: 2.187 states/eV per cell. The volume comes out at 19.713 Å³/atom. Its mass density is 7.9 g cm⁻³. The total moment is 0.0 μB per cell.

***

Run ii
Crystalline DyGa2Ge at its relaxed geometry, computed with PBE-GGA.

Unit cell a=4.4396 b=4.4396 c=14.8657 alpha=90.00 beta=90.00 gamma=120.00
With the nearest neighbours (Å) after each atom.
Space group R-3m (No. 166, hexagonal axes)
Asymmetric unit:
Dy: 0.0000 0.0000 0.0000 (multiplicity 3)  8 Ga 3.06-3.29
Ga: 0.0000 0.0000 0.2214 (multiplicity 6)  3 Ge 2.69
Ge: 0.0000 0.0000 0.5000 (multiplicity 3)  6 Ga 2.69

As for the density of states at the Fermi level: 9.606 states/eV per cell. The volume comes out at 21.146 Å³/atom. Its mass density is 7.4 g cm⁻³. The total moment is 0.0 μB per cell.

***

run i (232 meV/atom below the next structure)

***

Run i
Crystalline DyHoGaGe at its relaxed geometry, computed with PBE-GGA.

Unit cell a=3.9953 b=4.3117 c=10.7607 alpha=90.00 beta=90.00 gamma=90.00
With the nearest neighbours (Å) after each atom.
Space group Amm2 (No. 38)
Asymmetric unit:
Dy: 0.0000 0.0000 0.0000 (multiplicity 2)  4 Ga 3.01, 3 Ge 3.02-3.20
Ho: 0.5000 0.0000 0.2794 (multiplicity 2)  4 Ge 3.01, 3 Ga 3.02-3.20
Ga: 0.5000 0.0000 0.5598 (multiplicity 2)  2 Ge 2.63
Ge: 0.0000 0.0000 0.7193 (multiplicity 2)  2 Ga 2.63

As for the density of states at the Fermi level: 6.542 states/eV per cell. The volume comes out at 23.171 Å³/atom. Its mass density is 8.4 g cm⁻³. The total moment is 0.0 μB per cell.

***

Run ii
Crystalline DyHoGaGe at its relaxed geometry, computed with PBE-GGA.

Unit cell a=7.1347 b=7.1347 c=7.1347 alpha=90.00 beta=90.00 gamma=90.00
With the nearest neighbours (Å) after each atom.
Space group F-43m (No. 216)
Asymmetric unit:
Dy: 0.0000 0.0000 0.0000 (multiplicity 4)  4 Ge 3.09, 4 Ga 3.09
Ho: 0.0000 0.0000 0.5000 (multiplicity 4)  4 Ge 3.09, 4 Ga 3.09
Ga: 0.2500 0.2500 0.2500 (multiplicity 4)  4 Dy 3.09, 4 Ho 3.09
Ge: 0.2500 0.2500 0.7500 (multiplicity 4)  4 Dy 3.09, 4 Ho 3.09

As for the density of states at the Fermi level: 10.075 states/eV per cell. The volume comes out at 22.699 Å³/atom. Its mass density is 8.6 g cm⁻³. The total moment is 0.0 μB per cell.

***

run i (214 meV/atom below the next structure)

***

Run i
Crystalline LaDyGaGe at its relaxed geometry, computed with PBE-GGA.

Unit cell a=7.3411 b=7.3411 c=7.3411 alpha=90.00 beta=90.00 gamma=90.00
With the nearest neighbours (Å) after each atom.
Space group F-43m (No. 216)
Asymmetric unit:
La: 0.0000 0.0000 0.0000 (multiplicity 4)  4 Ga 3.18, 4 Ge 3.18
Dy: 0.0000 0.0000 0.5000 (multiplicity 4)  4 Ge 3.18, 4 Ga 3.18
Ga: 0.2500 0.2500 0.2500 (multiplicity 4)  4 La 3.18, 4 Dy 3.18
Ge: 0.2500 0.2500 0.7500 (multiplicity 4)  4 La 3.18, 4 Dy 3.18

As for the density of states at the Fermi level: 6.992 states/eV per cell. The volume comes out at 24.726 Å³/atom. Its mass density is 7.5 g cm⁻³. The total moment is 0.0 μB per cell.

***

Run ii
Crystalline LaDyGaGe at its relaxed geometry, computed with PBE-GGA.

Unit cell a=4.0898 b=4.4407 c=11.2276 alpha=90.00 beta=90.00 gamma=90.00
With the nearest neighbours (Å) after each atom.
Space group Amm2 (No. 38)
Asymmetric unit:
La: 0.0000 0.0000 0.0000 (multiplicity 2)  4 Ga 3.12, 3 Ge 3.13-3.33
Dy: 0.5000 0.0000 0.2792 (multiplicity 2)  4 Ge 3.09, 3 Ga 3.22-3.28
Ga: 0.5000 0.0000 0.5717 (multiplicity 2)  2 Ge 2.65
Ge: 0.0000 0.0000 0.7214 (multiplicity 2)  2 Ga 2.65

As for the density of states at the Fermi level: 6.197 states/eV per cell. The volume comes out at 25.489 Å³/atom. Its mass density is 7.2 g cm⁻³. The total moment is 0.3 μB per cell.

***

run ii (152 meV/atom below the next structure)

***

Run i
Crystalline NdDyGaGe at its relaxed geometry, computed with PBE-GGA.

Unit cell a=4.0576 b=4.3984 c=11.0376 alpha=90.00 beta=90.00 gamma=90.00
With the nearest neighbours (Å) after each atom.
Space group Amm2 (No. 38)
Asymmetric unit:
Nd: 0.0000 0.0000 0.0000 (multiplicity 2)  4 Ga 3.08, 3 Ge 3.09-3.28
Dy: 0.5000 0.0000 0.2797 (multiplicity 2)  4 Ge 3.06, 3 Ga 3.16-3.22
Ga: 0.5000 0.0000 0.5662 (multiplicity 2)  2 Ge 2.65
Ge: 0.0000 0.0000 0.7200 (multiplicity 2)  2 Ga 2.65

As for the density of states at the Fermi level: 6.721 states/eV per cell. The volume comes out at 24.623 Å³/atom. Its mass density is 7.6 g cm⁻³. The total moment is 0.0 μB per cell.

***

Run ii
Crystalline NdDyGaGe at its relaxed geometry, computed with PBE-GGA.

Unit cell a=7.2732 b=7.2732 c=7.2732 alpha=90.00 beta=90.00 gamma=90.00
With the nearest neighbours (Å) after each atom.
Space group F-43m (No. 216)
Asymmetric unit:
Nd: 0.0000 0.0000 0.0000 (multiplicity 4)  4 Ge 3.15, 4 Ga 3.15
Dy: 0.0000 0.0000 0.5000 (multiplicity 4)  4 Ge 3.15, 4 Ga 3.15
Ga: 0.2500 0.2500 0.7500 (multiplicity 4)  4 Dy 3.15, 4 Nd 3.15
Ge: 0.2500 0.2500 0.2500 (multiplicity 4)  4 Dy 3.15, 4 Nd 3.15

As for the density of states at the Fermi level: 9.030 states/eV per cell. The volume comes out at 24.047 Å³/atom. Its mass density is 7.8 g cm⁻³. The total moment is 0.0 μB per cell.

***

run i (200 meV/atom below the next structure)

***

Run i
Crystalline SmDyGaGe at its relaxed geometry, computed with PBE-GGA.

Unit cell a=7.2243 b=7.2243 c=7.2243 alpha=90.00 beta=90.00 gamma=90.00
With the nearest neighbours (Å) after each atom.
Space group F-43m (No. 216)
Asymmetric unit:
Sm: 0.0000 0.0000 0.0000 (multiplicity 4)  4 Ga 3.13, 4 Ge 3.13
Dy: 0.0000 0.0000 0.5000 (multiplicity 4)  4 Ge 3.13, 4 Ga 3.13
Ga: 0.2500 0.2500 0.7500 (multiplicity 4)  4 Dy 3.13, 4 Sm 3.13
Ge: 0.2500 0.2500 0.2500 (multiplicity 4)  4 Dy 3.13, 4 Sm 3.13

As for the density of states at the Fermi level: 8.658 states/eV per cell. The volume comes out at 23.565 Å³/atom. Its mass density is 8.0 g cm⁻³. The total moment is 0.0 μB per cell.

***

Run ii
Crystalline SmDyGaGe at its relaxed geometry, computed with PBE-GGA.

Unit cell a=4.0388 b=4.3710 c=10.9383 alpha=90.00 beta=90.00 gamma=90.00
With the nearest neighbours (Å) after each atom.
Space group Amm2 (No. 38)
Asymmetric unit:
Sm: 0.0000 0.0000 0.0000 (multiplicity 2)  4 Ga 3.06, 3 Ge 3.07-3.25
Dy: 0.5000 0.0000 0.2796 (multiplicity 2)  4 Ge 3.05, 3 Ga 3.11-3.22
Ga: 0.5000 0.0000 0.5636 (multiplicity 2)  2 Ge 2.64
Ge: 0.0000 0.0000 0.7194 (multiplicity 2)  2 Ga 2.64

As for the density of states at the Fermi level: 6.726 states/eV per cell. The volume comes out at 24.138 Å³/atom. Its mass density is 7.8 g cm⁻³. The total moment is 0.0 μB per cell.

***

run ii (205 meV/atom below the next structure)

***

Run i
Crystalline DyHfGa at its relaxed geometry, computed with PBE-GGA.

Unit cell a=3.3205 b=3.3205 c=12.3614 alpha=90.00 beta=90.00 gamma=90.00
With the nearest neighbours (Å) after each atom.
Space group I4mm (No. 107)
Asymmetric unit:
Dy: 0.0000 0.0000 0.0000 (multiplicity 2)  4 Ga 3.13, 4 Hf 3.32, 4 Dy 3.32
Hf: 0.0000 0.0000 0.3103 (multiplicity 2)  4 Ga 2.94
Ga: 0.0000 0.0000 0.6669 (multiplicity 2)  4 Hf 2.94, 4 Dy 3.13

As for the density of states at the Fermi level: 5.436 states/eV per cell. The volume comes out at 22.716 Å³/atom. Its mass density is 10.0 g cm⁻³. The total moment is 0.0 μB per cell.

***

Run ii
Crystalline DyHfGa at its relaxed geometry, computed with PBE-GGA.

Unit cell a=4.2309 b=4.2309 c=15.7393 alpha=90.00 beta=90.00 gamma=90.00
With the nearest neighbours (Å) after each atom.
Space group I4/mmm (No. 139)
Asymmetric unit:
Dy: 0.0000 0.0000 0.1758 (multiplicity 4)  5 Ga 3.09-3.10
Hf: 0.0000 0.5000 0.0000 (multiplicity 4)  4 Ga 2.92, 4 Hf 2.99
Ga: 0.0000 0.0000 0.3724 (multiplicity 4)  4 Hf 2.92, 5 Dy 3.09-3.10

As for the density of states at the Fermi level: 13.091 states/eV per cell. The volume comes out at 23.478 Å³/atom. Its mass density is 9.7 g cm⁻³. The total moment is 0.0 μB per cell.

***

Run iii
Crystalline DyHfGa at its relaxed geometry, computed with PBE-GGA.

Unit cell a=4.8118 b=4.8118 c=3.5183 alpha=90.00 beta=90.00 gamma=120.00
With the nearest neighbours (Å) after each atom.
Space group P3m1 (No. 156)
Asymmetric unit:
Dy: 0.0000 0.0000 0.0000 (multiplicity 1)  6 Ga 3.28-3.30, 6 Hf 3.29, 2 Dy 3.52
Hf: 0.3333 0.6667 0.4992 (multiplicity 1)  3 Ga 2.78
Ga: 0.6667 0.3333 0.5039 (multiplicity 1)  3 Hf 2.78

As for the density of states at the Fermi level: 3.350 states/eV per cell. The volume comes out at 23.515 Å³/atom. Its mass density is 9.7 g cm⁻³. The total moment is 0.0 μB per cell.

***

run ii (134 meV/atom below the next structure)

***

Run i
Crystalline DyHf2Ga at its relaxed geometry, computed with PBE-GGA.

Unit cell a=4.4262 b=4.4262 c=4.4324 alpha=90.00 beta=90.00 gamma=90.00
With the nearest neighbours (Å) after each atom.
Space group P4/mmm (No. 123)
Asymmetric unit:
Dy: 0.0000 0.0000 0.0000 (multiplicity 1)  4 Ga 3.13, 8 Hf 3.13
Hf: 0.0000 0.5000 0.5000 (multiplicity 2)  4 Hf 3.13, 4 Dy 3.13, 4 Ga 3.13
Ga: 0.5000 0.5000 0.0000 (multiplicity 1)  4 Dy 3.13, 8 Hf 3.13

As for the density of states at the Fermi level: 2.681 states/eV per cell. The volume comes out at 21.709 Å³/atom. Its mass density is 11.3 g cm⁻³. The total moment is 0.0 μB per cell.

***

Run ii
Crystalline DyHf2Ga at its relaxed geometry, computed with PBE-GGA.

Unit cell a=3.1208 b=3.1208 c=32.9275 alpha=90.00 beta=90.00 gamma=120.00
With the nearest neighbours (Å) after each atom.
Space group R-3m (No. 166, hexagonal axes)
Asymmetric unit:
Dy: 0.0000 0.0000 0.0000 (multiplicity 3)  6 Dy 3.12, 2 Hf 3.17
Hf: 0.0000 0.0000 0.0963 (multiplicity 6)  3 Ga 2.94, 6 Hf 3.12, 1 Dy 3.17
Ga: 0.0000 0.0000 0.5000 (multiplicity 3)  6 Hf 2.94, 6 Ga 3.12

As for the density of states at the Fermi level: 17.945 states/eV per cell. The volume comes out at 23.144 Å³/atom. Its mass density is 10.6 g cm⁻³. The total moment is 0.0 μB per cell.

***

run i (349 meV/atom below the next structure)